First-principles (PBE with a Hubbard U) data for a geometry-optimized MoIN2F structure, as listed in Alexandria.

Values from the calculation:
polymorph energy (0 for the lowest one): 0.0 meV/atom
calculated density: 6.31 g cm⁻³
symmetry: No. 123
crystal system: tetragonal
total magnetization: 0.00 μB/cell

Unit cell a=4.081 b=4.081 c=4.268 alpha=90.00 beta=90.00 gamma=90.00
Positions (direct):
Mo: 0.000 0.000 0.000
I: 0.500 0.500 0.500
N: 0.000 0.500 0.000
N: 0.500 0.000 0.000
F: 0.000 0.000 0.500